Record 1
Density functional theory data (GGA-PBE) for a geometry-optimized Pr5Dy structure.

a b c (Å): 5.2236 11.0384 7.3623
angles (deg): 90.00 90.00 90.00
Closest atoms and distances in Å follow each position.
Element x y z (fractional)
Pr (0.2500, 0.0831, 0.1235)  9 Pr 3.66-3.71, 3 Dy 3.68
Pr (0.2500, 0.0850, 0.6269)  10 Pr 3.64-3.72, 2 Dy 3.68
Pr (0.2500, 0.4150, 0.6269)  10 Pr 3.64-3.72, 2 Dy 3.68
Pr (0.2500, 0.4169, 0.1235)  9 Pr 3.66-3.71, 3 Dy 3.68
Pr (0.2500, 0.7500, 0.6262)  2 Dy 3.66-3.70, 10 Pr 3.69-3.70
Pr (0.7500, 0.2500, 0.3738)  2 Dy 3.66-3.70, 10 Pr 3.69-3.70
Pr (0.7500, 0.5831, 0.8765)  9 Pr 3.66-3.71, 3 Dy 3.68
Pr (0.7500, 0.5850, 0.3731)  10 Pr 3.64-3.72, 2 Dy 3.68
Pr (0.7500, 0.9150, 0.3731)  10 Pr 3.64-3.72, 2 Dy 3.68
Pr (0.7500, 0.9169, 0.8765)  9 Pr 3.66-3.71, 3 Dy 3.68
Dy (0.2500, 0.7500, 0.1232)  12 Pr 3.66-3.70
Dy (0.7500, 0.2500, 0.8768)  12 Pr 3.66-3.70

Results
**DFT total energy**: -4.7370 eV/atom
**M_tot**: 0.00 μB per formula unit
**Energy relative to the elements**: 0.013 eV per atom

=====

Record 2
Density functional theory data (GGA-PBE) for a geometry-optimized LaNdGeAu structure.

a b c (Å): 5.3007 5.3007 5.3007
angles (deg): 60.00 60.00 60.00
Closest atoms and distances in Å follow each position.
Element x y z (fractional)
La (0.0000, 0.0000, 0.0000)  4 Ge 3.25, 4 Au 3.25
Nd (0.5000, 0.5000, 0.5000)  4 Ge 3.25, 4 Au 3.25
Ge (0.7500, 0.7500, 0.7500)  4 Nd 3.25, 4 La 3.25
Au (0.2500, 0.2500, 0.2500)  4 Nd 3.25, 4 La 3.25

Results
**DFT total energy**: -5.1329 eV/atom
**M_tot**: 0.89 μB per formula unit
**Energy relative to the elements**: -0.735 eV per atom

=====

Record 3
Density functional theory data (GGA-PBE) for a geometry-optimized CaFe2N structure.

a b c (Å): 4.0417 4.0417 4.0417
angles (deg): 60.00 60.00 60.00
Closest atoms and distances in Å follow each position.
Element x y z (fractional)
Ca (0.0000, 0.0000, 0.0000)  8 Fe 2.48
Fe (0.2500, 0.2500, 0.2500)  4 Ca 2.48, 4 N 2.48
Fe (0.7500, 0.7500, 0.7500)  4 N 2.48, 4 Ca 2.48
N (0.5000, 0.5000, 0.5000)  8 Fe 2.48

Results
**DFT total energy**: -5.2062 eV/atom
**M_tot**: 0.00 μB per formula unit
**Uncorrected formation energy**: 1.61 eV/atom

=====

Record 4
Density functional theory data (GGA-PBE) for a geometry-optimized CuHg3Se structure.

a b c (Å): 5.0717 5.0717 5.0717
angles (deg): 90.00 90.00 90.00
Closest atoms and distances in Å follow each position.
Element x y z (fractional)
Cu (0.0000, 0.0000, 0.0000)  6 Hg 2.54
Hg (0.0000, 0.0000, 0.5000)  2 Cu 2.54
Hg (0.0000, 0.5000, 0.0000)  2 Cu 2.54
Hg (0.5000, 0.0000, 0.0000)  2 Cu 2.54
Se (0.5000, 0.5000, 0.5000)  12 Hg 3.59

Results
**DFT total energy**: -1.3783 eV/atom
**M_tot**: 0.00 μB per formula unit
**Uncorrected formation energy**: 0.32 eV/atom